The following is a GGA-PBE calculation of a relaxed structure of SrCuAu2, from Alexandria via LeMat-Bulk.

Values from the calculation:
formation enthalpy at 0 K = -0.398 eV per atom
volume = 99.4 Å³ per cell
space-group type = Pmm2 (25)
mass density = 9.1 g cm⁻³

Structure (POSCAR):
```
SrCuAu2
1.0
4.0993 0.0000 0.0000
0.0000 4.6820 0.0000
0.0000 0.0000 5.1813
Sr Cu Au
1 1 2
Direct
0.0000 0.0000 0.0000
0.5000 0.5000 0.2790
0.5000 0.0000 0.4853
0.5000 0.5000 0.7880
```